4
Lattice="2.1245 1.2266 4.9811 -2.1245 1.2266 4.9811 0.0000 -2.4532 4.9811" Properties=species:S:1:pos:R:3 comment="PBE DyAl2Os, relaxed" magmom_total_mub_per_cell=0.00 ef_mev_per_atom=-417 sg="No. 166" pbc="T T T"
Dy 0.0000 0.0000 0.0000
Al 0.0000 0.0000 3.1139
Al 0.0000 0.0000 11.8293
Os 0.0000 0.0000 7.4716